# 1
A plane-wave DFT calculation with GGA-PBEsol was carried out for crystalline TaTe2NF at its relaxed geometry. Values from VASP.

Values from the calculation:
**Fermi-level density of states**: 3.6 states/eV/f.u.
**Formation energy from raw total energies**: 1.060 eV per atom
**Symmetry**: P4/mmm (123)
**Offset from the most stable computed form**: 1091 meV per atom

The structure in Quantum ESPRESSO input format:
```
&SYSTEM
  ibrav = 0, nat = 5, ntyp = 4
/
ATOMIC_SPECIES
F 19.00 F.upf
Te 127.60 Te.upf
Ta 180.95 Ta.upf
N 14.01 N.upf
CELL_PARAMETERS angstrom
-2.4930 -0.9092 2.5940
1.4368 -4.5661 -0.2196
3.2456 0.8568 3.4196
ATOMIC_POSITIONS angstrom
F 0.0000 0.0000 0.0000
Te 1.6228 0.4284 1.7098
Te 0.7184 -2.2831 -0.1098
Ta 1.0947 -2.3093 2.8970
N -1.2465 -0.4546 1.2970
```

***

# 2
A plane-wave DFT calculation with GGA-PBEsol was carried out for crystalline K2ReCl6 at its relaxed geometry. Values from VASP.

Values from the calculation:
**Formation energy from raw total energies**: -1.256 eV per atom
**Symmetry**: Fm-3m (225)

The structure in Quantum ESPRESSO input format:
```
&SYSTEM
  ibrav = 0, nat = 9, ntyp = 3
/
ATOMIC_SPECIES
Cl 35.45 Cl.upf
K 39.10 K.upf
Re 186.21 Re.upf
CELL_PARAMETERS angstrom
-0.4195 -4.5675 5.1495
-1.1745 -6.6537 -1.3799
5.0147 -4.6464 0.9047
ATOMIC_POSITIONS angstrom
Cl 2.8144 -9.6787 0.8794
Cl 0.2150 -7.2702 0.4104
Cl 3.2057 -8.5973 4.2639
Cl 0.6063 -6.1888 3.7950
Cl -0.0025 -9.6378 3.0797
Cl 3.4232 -6.2297 1.5947
K 0.8552 -3.9669 1.1686
K 2.5655 -11.9006 3.5058
Re 0.0000 0.0000 0.0000
```

***

# 3
A plane-wave DFT calculation with GGA-PBEsol was carried out for crystalline RuPt2Rh at its relaxed geometry. Values from VASP.

Values from the calculation:
**Fermi-level density of states**: 5.3 states/eV/f.u.
**Symmetry**: R-3m (166)
**Offset from the most stable computed form**: 67 meV per atom
**Formation enthalpy at 0 K**: 0.12 eV/f.u.

The structure in Quantum ESPRESSO input format:
```
&SYSTEM
  ibrav = 0, nat = 4, ntyp = 3
/
ATOMIC_SPECIES
Pt 195.08 Pt.upf
Ru 101.07 Ru.upf
Rh 102.91 Rh.upf
CELL_PARAMETERS angstrom
-1.1439 -1.0568 -2.2329
-2.4751 -1.1249 0.1408
-4.8628 7.0893 -2.5239
ATOMIC_POSITIONS angstrom
Pt -2.1096 1.2037 -1.1486
Pt -6.3721 3.7039 -3.4674
Ru 0.0000 0.0000 0.0000
Rh -4.2409 2.4538 -2.3080
```

***

# 4
A plane-wave DFT calculation with GGA-PBEsol was carried out for crystalline Al2PtPb at its relaxed geometry. Values from VASP.

Values from the calculation:
**Fermi-level density of states**: 1.5 states/eV/f.u.
**Symmetry**: Amm2 (38)
**Formation enthalpy at 0 K**: -0.82 eV/f.u.

The structure in Quantum ESPRESSO input format:
```
&SYSTEM
  ibrav = 0, nat = 4, ntyp = 3
/
ATOMIC_SPECIES
Al 26.98 Al.upf
Pt 195.08 Pt.upf
Pb 207.20 Pb.upf
CELL_PARAMETERS angstrom
3.7769 0.0000 0.0000
0.0000 4.3730 0.0000
-1.8885 0.0000 4.7301
ATOMIC_POSITIONS angstrom
Al 1.8885 0.0000 2.9624
Al 0.0000 2.1865 2.2597
Pt 1.8885 2.1865 4.1185
Pb 1.8885 0.0000 0.3405
```

***

# 5
A plane-wave DFT calculation with GGA-PBEsol was carried out for crystalline TeMo3Se7I6 at its relaxed geometry. Values from VASP.

Values from the calculation:
**Formation energy from raw total energies**: -0.380 eV per atom
**Symmetry**: P2_1/c (14)

The structure in Quantum ESPRESSO input format:
```
&SYSTEM
  ibrav = 0, nat = 68, ntyp = 4
/
ATOMIC_SPECIES
I 126.90 I.upf
Se 78.96 Se.upf
Mo 95.94 Mo.upf
Te 127.60 Te.upf
CELL_PARAMETERS angstrom
10.6965 0.0000 0.0481
0.0000 13.0644 0.0000
-3.7633 0.0000 15.7610
ATOMIC_POSITIONS angstrom
I 1.9479 6.1979 5.7507
I 5.9081 12.8934 10.2157
I 7.6500 5.5652 7.1715
I 6.3485 7.8928 0.8344
I 4.4917 6.3612 13.4978
I -0.8017 2.4824 10.3473
I 1.0251 0.1711 5.5933
I 3.5692 2.8541 7.2228
I 7.0358 3.6781 15.1274
I -0.7168 7.4992 8.6375
I 0.4201 0.9670 15.0280
I -0.8814 11.7038 8.6908
I 5.4145 0.3343 13.6553
I 0.5847 5.1716 14.9747
I -0.1026 9.3863 0.6817
I 4.9854 6.8666 10.0583
I 0.5051 9.0146 13.3182
I 7.7349 10.5820 5.4617
I 3.3640 10.2104 8.5862
I 7.8146 1.3606 7.1182
I 1.5187 12.7301 2.1538
I 6.5131 12.0974 0.7810
I 2.4415 6.7033 2.3112
I 6.4281 4.0498 2.4909
Se -2.9689 7.7539 13.9902
Se 5.3820 7.5906 4.2527
Se 2.2730 4.5440 9.5103
Se 3.6135 9.9252 2.4686
Se 4.0879 10.0227 11.8424
Se 9.9021 5.3106 1.8188
Se -1.8479 12.0060 12.1092
Se -2.5696 11.0762 14.1552
Se 9.4222 6.1560 3.9752
Se 4.6602 8.5205 6.2988
Se 5.0313 9.8154 14.0030
Se 8.7811 1.0584 3.6999
Se 7.0801 9.6714 10.3731
Se 1.9019 3.2491 1.8060
Se 1.5512 5.4738 11.5563
Se 9.5028 1.9883 1.6538
Se 2.1923 0.3762 11.8316
Se 5.3685 3.2832 9.7105
Se 4.7409 12.6882 3.9774
Se 0.6213 9.5740 3.9379
Se 1.5647 9.7813 6.0985
Se 3.3197 3.1392 13.3404
Se 6.3119 3.4905 11.8711
Se 2.8453 3.0418 3.9666
Se 2.6722 1.2217 9.6753
Se -0.1469 3.3930 5.4359
Se 4.2610 11.8428 6.1338
Se -2.4889 6.9085 11.8339
Mo 5.1097 10.1706 4.4263
Mo 6.4141 11.0867 12.3034
Mo 1.8236 2.8939 11.3828
Mo 6.0576 8.3537 12.2061
Mo 9.0534 3.6383 3.5263
Mo 4.3422 1.8215 11.5074
Mo 0.8756 4.7108 3.6029
Mo 0.5191 1.9777 3.5056
Mo 2.9475 8.5099 4.3989
Mo 2.5910 11.2430 4.3016
Mo -2.1202 9.4261 12.2827
Mo 3.9857 4.5545 11.4102
Te 7.1165 10.0176 2.5572
Te 7.0466 3.4854 5.3954
Te -0.1833 3.0469 13.2518
Te -0.1134 9.5791 10.4137
```

***

# 6
A plane-wave DFT calculation with GGA-PBEsol was carried out for crystalline Sc2FeSb2 at its relaxed geometry. Values from VASP.

Values from the calculation:
**Fermi-level density of states**: 7.0 states/eV/f.u.
**Formation energy from raw total energies**: 0.255 eV per atom
**Symmetry**: I4/mmm (139)

The structure in Quantum ESPRESSO input format:
```
&SYSTEM
  ibrav = 0, nat = 5, ntyp = 3
/
ATOMIC_SPECIES
Sc 44.96 Sc.upf
Fe 55.84 Fe.upf
Sb 121.76 Sb.upf
CELL_PARAMETERS angstrom
-1.8537 0.1675 -3.5665
-3.5659 -0.2898 1.8398
2.3799 7.3964 1.3794
ATOMIC_POSITIONS angstrom
Sc -0.2659 5.9125 0.4159
Sc -2.7738 1.3617 -0.7633
Fe 0.0000 0.0000 0.0000
Sb -1.0918 3.7514 -1.5253
Sb -1.9479 3.5227 1.1779
```

***

# 7
A plane-wave DFT calculation with GGA-PBEsol was carried out for crystalline NiAgSe2 at its relaxed geometry. Values from VASP.

Values from the calculation:
**Fermi-level density of states**: 6.0 states/eV/f.u.
**Formation energy from raw total energies**: 0.355 eV per atom
**Symmetry**: R-3m (166)
**Offset from the most stable computed form**: 522 meV per atom

The structure in Quantum ESPRESSO input format:
```
&SYSTEM
  ibrav = 0, nat = 4, ntyp = 3
/
ATOMIC_SPECIES
Se 78.96 Se.upf
Ag 107.87 Ag.upf
Ni 58.69 Ni.upf
CELL_PARAMETERS angstrom
3.7104 0.0000 0.0000
1.8552 3.2133 0.0000
1.8552 1.0711 7.3759
ATOMIC_POSITIONS angstrom
Se 1.8552 1.0711 5.1965
Se 5.5657 3.2133 2.1794
Ag 3.7104 2.1422 3.6879
Ni 0.0000 0.0000 0.0000
```

***

# 8
A plane-wave DFT calculation with GGA-PBEsol was carried out for crystalline SrIn3 at its relaxed geometry. Values from VASP.

Values from the calculation:
**Fermi-level density of states**: 1.8 states/eV/f.u.
**Symmetry**: Cmmm (65)
**Formation enthalpy at 0 K**: -1.17 eV/f.u.

The structure in Quantum ESPRESSO input format:
```
&SYSTEM
  ibrav = 0, nat = 4, ntyp = 2
/
ATOMIC_SPECIES
In 114.82 In.upf
Sr 87.62 Sr.upf
CELL_PARAMETERS angstrom
3.8657 0.0496 0.0000
-0.0579 3.8656 0.0000
0.0000 0.0000 7.4593
ATOMIC_POSITIONS angstrom
In 1.9039 1.9576 0.0000
In 0.0000 0.0000 5.9046
In 0.0000 0.0000 1.5547
Sr 1.9039 1.9576 3.7297
```

***

# 9
A plane-wave DFT calculation with GGA-PBEsol was carried out for crystalline BaPbAu at its relaxed geometry. Values from VASP.

Values from the calculation:
**Fermi-level density of states**: 2.1 states/eV/f.u.
**Symmetry**: I4mm (107)
**Formation enthalpy at 0 K**: -1.13 eV/f.u.

The structure in Quantum ESPRESSO input format:
```
&SYSTEM
  ibrav = 0, nat = 3, ntyp = 3
/
ATOMIC_SPECIES
Ba 137.33 Ba.upf
Pb 207.20 Pb.upf
Au 196.97 Au.upf
CELL_PARAMETERS angstrom
-3.7176 0.6571 -0.3047
-0.6987 -3.6733 0.6034
1.8994 2.5572 5.8794
ATOMIC_POSITIONS angstrom
Ba -2.3023 -1.1882 1.9879
Pb -0.2260 0.7678 4.4121
Au -2.5055 -0.4977 5.9561
```

***

# 10
A plane-wave DFT calculation with GGA-PBEsol was carried out for crystalline La2AgBr at its relaxed geometry. Values from VASP.

Values from the calculation:
**Fermi-level density of states**: 2.2 states/eV/f.u.
**Formation energy from raw total energies**: -0.774 eV per atom
**Symmetry**: Pmm2 (25)
**Offset from the most stable computed form**: 0 meV per atom

The structure in Quantum ESPRESSO input format:
```
&SYSTEM
  ibrav = 0, nat = 4, ntyp = 3
/
ATOMIC_SPECIES
Ag 107.87 Ag.upf
Br 79.90 Br.upf
La 138.91 La.upf
CELL_PARAMETERS angstrom
4.2858 0.0000 0.0000
0.0000 4.2826 0.0000
0.0000 0.0000 6.2418
ATOMIC_POSITIONS angstrom
Ag 1.6127 0.0000 0.0000
Br 3.7456 2.1413 3.1209
La 3.7536 2.1413 0.0000
La 1.6025 0.0000 3.1209
```